1.
VASP calculation (PBE) on SmHoCo after structural relaxation.

Lattice parameters (Å, degrees): 3.3922 3.3922 12.7623 90.00 90.00 90.00
Space group I4mm (No. 107)
Symmetry-distinct sites (fractional):
1 Sm 0.0000 0.0000 0.0000 (multiplicity 2)
2 Ho 0.0000 0.0000 0.7443 (multiplicity 2)
3 Co 0.0000 0.0000 0.3668 (multiplicity 2)

- Raw total energy: -0.20363 hartree per atom
- Calculated formation energy: -0.2 eV/f.u.

2.
VASP calculation (PBE) on Li2ZrCo after structural relaxation.

Lattice parameters (Å, degrees): 2.9271 4.6187 9.8169 90.00 90.00 90.00
Space group Cmmm (No. 65)
Symmetry-distinct sites (fractional):
1 Li 0.0000 0.0000 0.2154 (multiplicity 4)
2 Zr 0.0000 0.5000 0.5000 (multiplicity 2)
3 Co 0.0000 0.5000 0.0000 (multiplicity 2)

- Raw total energy: -0.16683 hartree per atom
- Calculated formation energy: 1.3 eV/f.u.

3.
VASP calculation (PBE) on PrY5Al3 after structural relaxation.

Lattice parameters (Å, degrees): 9.1775 9.1775 6.6907 90.00 90.00 120.00
Space group P6_3/mcm (No. 193)
Symmetry-distinct sites (fractional):
1 Pr 0.0000 0.0000 0.0000 (multiplicity 2)
2 Y 0.0000 0.3306 0.2500 (multiplicity 6)
3 Y 0.3333 0.6667 0.0000 (multiplicity 4)
4 Al 0.0000 0.3413 0.7500 (multiplicity 6)

- Raw total energy: -0.20744 hartree per atom
- Calculated formation energy: -2.5 eV/f.u.

4.
VASP calculation (PBE) on AlFe2Si after structural relaxation.

Lattice parameters (Å, degrees): 2.6923 2.6923 23.0594 90.00 90.00 120.00
Space group R-3m (No. 166, hexagonal axes)
Symmetry-distinct sites (fractional):
1 Al 0.0000 0.0000 0.0000 (multiplicity 3)
2 Fe 0.0000 0.0000 0.2457 (multiplicity 6)
3 Si 0.0000 0.0000 0.5000 (multiplicity 3)

- Raw total energy: -0.24627 hartree per atom
- Formation energy from raw total energies: -179 meV per atom

5.
VASP calculation (PBE) on Er4PuIn5 after structural relaxation.

Lattice parameters (Å, degrees): 3.7143 3.7143 19.0487 90.00 90.00 90.00
Space group P4/mmm (No. 123)
Symmetry-distinct sites (fractional):
1 Er 0.0000 0.0000 0.0990 (multiplicity 2)
2 Er 0.0000 0.0000 0.2966 (multiplicity 2)
3 Pu 0.0000 0.0000 0.5000 (multiplicity 1)
4 In 0.5000 0.5000 0.0000 (multiplicity 1)
5 In 0.5000 0.5000 0.1980 (multiplicity 2)
6 In 0.5000 0.5000 0.3942 (multiplicity 2)

- Raw total energy: -0.18371 hartree per atom
- Calculated formation energy: -3.7 eV/f.u.

6.
VASP calculation (PBE) on BeInHg after structural relaxation.

Lattice parameters (Å, degrees): 4.2710 4.2710 3.8273 90.00 90.00 120.00
Space group P3m1 (No. 156)
Symmetry-distinct sites (fractional):
1 Be 0.0000 0.0000 0.0000 (multiplicity 1)
2 In 0.3333 0.6667 0.4987 (multiplicity 1)
3 Hg 0.6667 0.3333 0.9986 (multiplicity 1)

- Raw total energy: -0.06864 hartree per atom
- Calculated formation energy: 1.2 eV/f.u.

7.
VASP calculation (PBE) on Hf3TiV8 after structural relaxation.

Lattice parameters (Å, degrees): 5.1715 5.1715 24.8773 90.00 90.00 120.00
Space group R3m (No. 160, hexagonal axes)
Symmetry-distinct sites (fractional):
1 Hf 0.0000 0.0000 0.0000 (multiplicity 3)
2 Hf 0.0000 0.0000 0.1262 (multiplicity 3)
3 Hf 0.0000 0.0000 0.6230 (multiplicity 3)
4 Ti 0.0000 0.0000 0.4982 (multiplicity 3)
5 V 0.0000 0.0000 0.3111 (multiplicity 3)
6 V 0.0000 0.0000 0.8125 (multiplicity 3)
7 V 0.0043 0.5021 0.0649 (multiplicity 9)
8 V 0.1679 0.3357 0.8933 (multiplicity 9)

- Raw total energy: -0.33729 hartree per atom
- Calculated formation energy: 0.6 eV/f.u.

8.
VASP calculation (PBE) on LiSmY2Tl4 after structural relaxation.

Lattice parameters (Å, degrees): 5.2652 5.2652 26.6771 90.00 90.00 120.00
Space group R-3m (No. 166, hexagonal axes)
Symmetry-distinct sites (fractional):
1 Li 0.0000 0.0000 0.0000 (multiplicity 3)
2 Sm 0.0000 0.0000 0.5000 (multiplicity 3)
3 Y 0.0000 0.0000 0.2548 (multiplicity 6)
4 Tl 0.0000 0.0000 0.1222 (multiplicity 6)
5 Tl 0.0000 0.0000 0.3724 (multiplicity 6)

- Raw total energy: -0.14608 hartree per atom
- Calculated formation energy: -2.8 eV/f.u.